Entry 1:
Below is a relaxed TaAl3 crystal, with properties calculated at the PBE-GGA level.

Output
Total magnetization in μB per formula unit: 0.00
Formation energy in meV per atom: -135.3
SG: Pnma
E in eV/atom: -5.905

Lattice parameters (Å, degrees): 5.694 5.065 9.319 90.00 90.00 90.00
Fractional coordinates of all 16 atoms:
Al 0.627 0.639 0.250
Al 0.129 0.279 0.494
Al 0.871 0.721 0.994
Al 0.371 0.779 0.006
Al 0.871 0.721 0.506
Al 0.371 0.779 0.494
Al 0.873 0.139 0.250
Al 0.129 0.279 0.006
Al 0.629 0.221 0.994
Al 0.127 0.861 0.750
Al 0.373 0.361 0.750
Al 0.629 0.221 0.506
Ta 0.874 0.345 0.750
Ta 0.374 0.155 0.250
Ta 0.126 0.655 0.250
Ta 0.626 0.845 0.750



Entry 2:
Below is a relaxed MnPd4Pt4 crystal, with properties calculated at the PBE-GGA level.

Output
Total magnetization in μB per formula unit: 5.46
Formation energy in meV per atom: -159.7
SG: I4/mmm
E in eV/atom: -6.171

Lattice parameters (Å, degrees): 3.961 6.223 6.223 84.19 71.44 71.44
Site moments in Bohr magnetons follow the coordinates.
Fractional coordinates of all 9 atoms:
Pd 0.000 0.330 0.670  0.22
Pd 0.000 0.670 0.330  0.22
Pd 0.670 0.330 0.330  0.22
Pd 0.330 0.670 0.670  0.22
Pt 0.336 0.328 0.000  0.18
Pt 0.664 0.672 0.000  0.18
Pt 0.664 0.000 0.672  0.18
Pt 0.336 0.000 0.328  0.18
Mn 0.000 0.000 0.000  3.75



Entry 3:
Below is a relaxed AcTbCoAu crystal, with properties calculated at the PBE-GGA level.

Output
Total magnetization in μB per formula unit: 0.71
Formation energy in meV per atom: -263.5
SG: F-43m
E in eV/atom: -5.044

Lattice parameters (Å, degrees): 5.182 5.182 5.182 60.00 60.00 60.00
Site moments in Bohr magnetons follow the coordinates.
Fractional coordinates of all 4 atoms:
Ac 0.000 0.000 0.000  -0.03
Co 0.750 0.750 0.750  0.93
Au 0.250 0.250 0.250  0.00
Tb 0.500 0.500 0.500  -0.12